i.
Density functional theory data (PBE-GGA) for a relaxed SiHgW2 crystal.

Cell: 3.8417 3.8417 19.5388 Å, 90.00 90.00 90.00°
Space group I-42d (No. 122)
Inequivalent atoms, fractional coordinates:
1 Si 0.0000 0.0000 0.0000 x4
2 Hg 0.0000 0.0000 0.5000 x4
3 W 0.2203 0.2500 0.1250 x8

---

ii.
Density functional theory data (PBE-GGA) for a relaxed SiHgW2 crystal.

Cell: 5.7454 8.2390 2.7643 Å, 90.00 90.00 90.00°
Space group Cmmm (No. 65)
Inequivalent atoms, fractional coordinates:
1 Si 0.0000 0.0000 0.0000 x2
2 Hg 0.0000 0.5000 0.0000 x2
3 W 0.2500 0.2500 0.5000 x4

---

Verdict on stability: i comes out at the bottom.

---

i.
Density functional theory data (PBE-GGA) for a relaxed SiHgW2 crystal.

Cell: 3.9531 3.9531 4.2069 Å, 90.00 90.00 90.00°
Space group P4/mmm (No. 123)
Inequivalent atoms, fractional coordinates:
1 Si 0.0000 0.0000 0.0000 x1
2 Hg 0.5000 0.5000 0.0000 x1
3 W 0.0000 0.5000 0.5000 x2

---

ii.
Density functional theory data (PBE-GGA) for a relaxed SiHgW2 crystal.

Cell: 3.1438 4.6957 8.9744 Å, 90.00 90.00 90.00°
Space group Immm (No. 71)
Inequivalent atoms, fractional coordinates:
1 Si 0.0000 0.0000 0.0000 x2
2 Hg 0.0000 0.0000 0.5000 x2
3 W 0.0000 0.5000 0.2769 x4

---

iii.
Density functional theory data (PBE-GGA) for a relaxed SiHgW2 crystal.

Cell: 3.2415 4.5415 9.8732 Å, 90.00 90.00 90.00°
Space group Cmm2 (No. 35)
Inequivalent atoms, fractional coordinates:
1 Si 0.0000 0.0000 0.0000 x2
2 Hg 0.0000 0.5000 0.6845 x2
3 W 0.0000 0.0000 0.4247 x2
4 W 0.0000 0.5000 0.2068 x2

---

Verdict on stability: i comes out at the bottom.

---

i.
Density functional theory data (PBE-GGA) for a relaxed SiHgW2 crystal.

Cell: 3.3432 4.5432 8.7068 Å, 90.00 90.00 90.00°
Space group Cmmm (No. 65)
Inequivalent atoms, fractional coordinates:
1 Si 0.0000 0.0000 0.0000 x2
2 Hg 0.0000 0.0000 0.5000 x2
3 W 0.0000 0.5000 0.2167 x4

---

ii.
Density functional theory data (PBE-GGA) for a relaxed SiHgW2 crystal.

Cell: 4.0475 4.0475 8.0422 Å, 90.00 90.00 90.00°
Space group I4/mmm (No. 139)
Inequivalent atoms, fractional coordinates:
1 Si 0.0000 0.0000 0.0000 x2
2 Hg 0.0000 0.0000 0.5000 x2
3 W 0.0000 0.5000 0.2500 x4

---

iii.
Density functional theory data (PBE-GGA) for a relaxed SiHgW2 crystal.

Cell: 3.1617 3.1617 6.9733 Å, 90.00 90.00 90.00°
Space group P4mm (No. 99)
Inequivalent atoms, fractional coordinates:
1 Si 0.0000 0.0000 0.0000 x1
2 Hg 0.5000 0.5000 0.6948 x1
3 W 0.0000 0.0000 0.3995 x1
4 W 0.5000 0.5000 0.1789 x1

---

iv.
Density functional theory data (PBE-GGA) for a relaxed SiHgW2 crystal.

Cell: 2.8811 2.8811 27.5768 Å, 90.00 90.00 120.00°
Space group R-3m (No. 166, hexagonal axes)
Inequivalent atoms, fractional coordinates:
1 Si 0.0000 0.0000 0.0000 x3
2 Hg 0.0000 0.0000 0.5000 x3
3 W 0.0000 0.0000 0.2574 x6

---

Verdict on stability: ii comes out at the bottom.

---

i.
Density functional theory data (PBE-GGA) for a relaxed SiHgW2 crystal.

Cell: 6.3698 6.3698 6.3698 Å, 90.00 90.00 90.00°
Space group Fm-3m (No. 225)
Inequivalent atoms, fractional coordinates:
1 Si 0.0000 0.0000 0.0000 x4
2 Hg 0.0000 0.0000 0.5000 x4
3 W 0.2500 0.2500 0.2500 x8

---

ii.
Density functional theory data (PBE-GGA) for a relaxed SiHgW2 crystal.

Cell: 4.0135 4.0135 8.1406 Å, 90.00 90.00 90.00°
Space group I-4m2 (No. 119)
Inequivalent atoms, fractional coordinates:
1 Si 0.0000 0.0000 0.0000 x2
2 Hg 0.0000 0.5000 0.2500 x2
3 W 0.0000 0.0000 0.5000 x2
4 W 0.0000 0.5000 0.7500 x2

---

iii.
Density functional theory data (PBE-GGA) for a relaxed SiHgW2 crystal.

Cell: 9.4247 2.7897 5.2704 Å, 90.00 105.11 90.00°
Space group C2/m (No. 12)
Inequivalent atoms, fractional coordinates:
1 Si 0.0000 0.0000 0.0000 x2
2 Hg 0.0000 0.5000 0.5000 x2
3 W 0.2320 0.5000 0.2323 x4

---

iv.
Density functional theory data (PBE-GGA) for a relaxed SiHgW2 crystal.

Cell: 3.2469 4.5139 8.9194 Å, 90.00 90.00 90.00°
Space group Imm2 (No. 44)
Inequivalent atoms, fractional coordinates:
1 Si 0.0000 0.0000 0.0000 x2
2 Hg 0.0000 0.5000 0.2468 x2
3 W 0.0000 0.0000 0.4704 x2
4 W 0.0000 0.5000 0.7206 x2

---

Verdict on stability: i comes out at the bottom.

---

i.
Density functional theory data (PBE-GGA) for a relaxed YSi2Hg2 crystal.

Cell: 4.2221 4.2221 12.0883 Å, 90.00 90.00 90.00°
Space group I4/mmm (No. 139)
Inequivalent atoms, fractional coordinates:
1 Y 0.0000 0.0000 0.0000 x2
2 Si 0.0000 0.0000 0.4047 x4
3 Hg 0.0000 0.5000 0.2500 x4

---

ii.
Density functional theory data (PBE-GGA) for a relaxed YSi2Hg2 crystal.

Cell: 4.7931 4.7931 9.7792 Å, 90.00 90.00 90.00°
Space group I4/mmm (No. 139)
Inequivalent atoms, fractional coordinates:
1 Y 0.0000 0.0000 0.0000 x2
2 Si 0.0000 0.5000 0.2500 x4
3 Hg 0.0000 0.0000 0.3607 x4

---

Verdict on stability: ii comes out at the bottom.

---

i.
Density functional theory data (PBE-GGA) for a relaxed ZnSiHg3 crystal.

Cell: 5.1969 5.1969 5.1969 Å, 90.00 90.00 90.00°
Space group Pm-3m (No. 221)
Inequivalent atoms, fractional coordinates:
1 Zn 0.0000 0.0000 0.0000 x1
2 Si 0.5000 0.5000 0.5000 x1
3 Hg 0.0000 0.5000 0.5000 x3

---

ii.
Density functional theory data (PBE-GGA) for a relaxed ZnSiHg3 crystal.

Cell: 5.1173 5.1173 5.1173 Å, 90.00 90.00 90.00°
Space group Pm-3m (No. 221)
Inequivalent atoms, fractional coordinates:
1 Zn 0.0000 0.0000 0.0000 x1
2 Si 0.5000 0.5000 0.5000 x1
3 Hg 0.0000 0.0000 0.5000 x3

---

Verdict on stability: ii comes out at the bottom.

---

i.
Density functional theory data (PBE-GGA) for a relaxed ZnSi2Hg crystal.

Cell: 2.7480 2.7480 10.1064 Å, 90.00 90.00 90.00°
Space group P4/mmm (No. 123)
Inequivalent atoms, fractional coordinates:
1 Zn 0.0000 0.0000 0.0000 x1
2 Si 0.5000 0.5000 0.2017 x2
3 Hg 0.0000 0.0000 0.5000 x1

---

ii.
Density functional theory data (PBE-GGA) for a relaxed ZnSi2Hg crystal.

Cell: 3.8106 3.8466 4.9683 Å, 90.00 90.00 90.00°
Space group Pmmm (No. 47)
Inequivalent atoms, fractional coordinates:
1 Zn 0.0000 0.0000 0.0000 x1
2 Si 0.0000 0.5000 0.5000 x1
3 Si 0.5000 0.0000 0.5000 x1
4 Hg 0.5000 0.5000 0.0000 x1

---

Verdict on stability: ii comes out at the bottom.

---

i.
Density functional theory data (PBE-GGA) for a relaxed ZrSi2Hg2 crystal.

Cell: 3.9324 3.9324 13.5285 Å, 90.00 90.00 90.00°
Space group I4/mmm (No. 139)
Inequivalent atoms, fractional coordinates:
1 Zr 0.0000 0.0000 0.0000 x2
2 Si 0.0000 0.0000 0.4144 x4
3 Hg 0.0000 0.5000 0.2500 x4

---

ii.
Density functional theory data (PBE-GGA) for a relaxed ZrSi2Hg2 crystal.

Cell: 7.0412 7.0412 4.0205 Å, 90.00 90.00 90.00°
Space group P4/mbm (No. 127)
Inequivalent atoms, fractional coordinates:
1 Zr 0.0000 0.0000 0.0000 x2
2 Si 0.1207 0.3793 0.0000 x4
3 Hg 0.1832 0.6832 0.5000 x4

---

Verdict on stability: i comes out at the bottom.

---

i.
Density functional theory data (PBE-GGA) for a relaxed ZrSi3Hg crystal.

Cell: 5.1452 5.1452 5.1452 Å, 90.00 90.00 90.00°
Space group Pm-3m (No. 221)
Inequivalent atoms, fractional coordinates:
1 Zr 0.0000 0.0000 0.0000 x1
2 Si 0.0000 0.0000 0.5000 x3
3 Hg 0.5000 0.5000 0.5000 x1

---

ii.
Density functional theory data (PBE-GGA) for a relaxed ZrSi3Hg crystal.

Cell: 4.9215 4.9215 4.9215 Å, 90.00 90.00 90.00°
Space group Pm-3m (No. 221)
Inequivalent atoms, fractional coordinates:
1 Zr 0.0000 0.0000 0.0000 x1
2 Si 0.0000 0.5000 0.5000 x3
3 Hg 0.5000 0.5000 0.5000 x1

---

Verdict on stability: ii comes out at the bottom.

---

i.
Density functional theory data (PBE-GGA) for a relaxed SmHg4 crystal.

Cell: 6.1187 6.1187 6.1187 Å, 90.00 90.00 90.00°
Space group Pm-3m (No. 221)
Inequivalent atoms, fractional coordinates:
1 Sm 0.0000 0.0000 0.0000 x1
2 Hg 0.0000 0.0000 0.5000 x3
3 Hg 0.5000 0.5000 0.5000 x1

---

ii.
Density functional theory data (PBE-GGA) for a relaxed SmHg4 crystal.

Cell: 5.2661 6.9851 8.6858 Å, 90.00 127.05 90.00°
Space group P2_1/c (No. 14)
Inequivalent atoms, fractional coordinates:
1 Sm 0.0000 0.0000 0.0000 x2
2 Hg 0.2071 0.0711 0.7063 x4
3 Hg 0.4277 0.7056 0.9292 x4

---

iii.
Density functional theory data (PBE-GGA) for a relaxed SmHg4 crystal.

Cell: 4.9092 6.6588 15.3453 Å, 90.00 90.00 90.00°
Space group Imma (No. 74)
Inequivalent atoms, fractional coordinates:
1 Sm 0.0000 0.2500 0.1087 x4
2 Hg 0.0000 0.0000 0.5000 x4
3 Hg 0.0000 0.0006 0.3034 x8
4 Hg 0.0000 0.2500 0.8982 x4

---

Verdict on stability: i comes out at the bottom.